(1)
Here is a relaxed Pa4GeAs2S crystal from the Alexandria database. Energies are from GGA-PBE.

Calculated values
Magnetization (μB/f.u.): 0.0
DFT total energy (eV/cell): -64.38
Volume (A^3/atom): 23.64
N(E_F) (states/eV/cell): 10.114
Formation energy without anion corrections (meV/atom): -1044
Symmetry: P2/m

```
Pa4GeAs2S
1.0
6.9917 0.0000 0.0000
0.0000 4.0732 0.0000
-2.3686 0.0000 6.6415
Pa Ge As S
4 1 2 1
Cartesian
1.1069 0.0000 1.5941 Pa
-0.0769 2.0366 5.0141 Pa
4.7000 2.0366 1.6273 Pa
3.5162 0.0000 5.0474 Pa
3.4959 0.0000 0.0000 Ge
-1.1843 0.0000 3.3207 As
2.3115 2.0366 3.3207 As
0.0000 2.0366 0.0000 S
```

=====

(2)
Here is a relaxed LiCa2Cu2 crystal from the Alexandria database. Energies are from GGA-PBE.

Calculated values
Energy relative to the elements (eV per atom): 0.06
Excess energy over the best structure of this formula in the dataset (meV per atom): 161
Magnetization (μB/f.u.): 0.0
DFT total energy (eV/cell): -13.81
Volume (A^3/atom): 24.31
N(E_F) (states/eV/cell): 2.149
Symmetry: I4/mmm

```
LiCa2Cu2
1.0
-1.7719 1.7719 9.6790
1.7719 -1.7719 9.6790
1.7719 1.7719 -9.6790
Li Ca Cu
1 2 2
Cartesian
0.0000 0.0000 0.0000 Li
0.0000 0.0000 7.2648 Ca
0.0000 0.0000 12.0931 Ca
1.7719 0.0000 4.8395 Cu
0.0000 1.7719 4.8395 Cu
```